GGA-PBEsol ScNb2CrSn, optimized geometry; space group = P4/mmm; energy of formation = 1591 meV per atom
1.0
4.663 0.000 0.000
0.000 4.663 0.000
0.000 0.000 5.183
Sc Cr Nb Sn
1 1 2 1
Cartesian
0.000 0.000 0.000 Sc
2.332 2.332 2.591 Cr
0.000 2.332 0.000 Nb
2.332 0.000 0.000 Nb
0.000 0.000 2.591 Sn